Density functional theory data (PBE+U) for a relaxed structure of Ca2BeVO.

Summary:
electronic total energy: -17.5 eV for the cell shown
total moment: 2.831 μB per formula unit
DOS(E_F): 0.530 states/eV/atom

Lattice parameters (Å, degrees): 5.286 4.319 5.286 90.00 90.00 90.00
Last column: magnetic moment on the atom in μB.
Fractional positions:
Be  0.000  0.000  0.000  -0.07
Ca  0.000  0.000  0.500  -0.02
Ca  0.500  0.000  0.000  -0.05
O  0.500  0.500  0.500  -0.10
V  0.000  0.500  0.000  2.75